Entry 1:
Here is a relaxed Er7Ni2Te2 crystal from Alexandria. Energies are from GGA-PBEsol.

Values from the calculation:
SG	Imm2
formation energy from raw total energies	-0.692	eV per atom

Lattice parameters (Å, degrees): 3.7613 9.1404 9.1404 61.48 78.13 78.13
Sites, in units of the cell vectors:
Ni  0.7365  0.0163  0.5108
Er  0.6336  0.6302  0.1026
Er  0.1468  0.2647  0.4418
Er  0.8532  0.5582  0.7353
Ni  0.2635  0.4892  0.9837
Er  0.8152  0.2450  0.1246
Te  0.5000  0.5195  0.4805
Er  0.5000  0.1825  0.8175
Er  0.1848  0.8754  0.7550
Er  0.3664  0.8974  0.3698
Te  0.0000  0.9162  0.0838

***

Entry 2:
Here is a relaxed Sc4SiPb crystal from Alexandria. Energies are from GGA-PBEsol.

Values from the calculation:
SG	F-43m
formation energy from raw total energies	0.136	eV per atom

Lattice parameters (Å, degrees): 5.6915 5.6915 5.6915 60.00 60.00 60.00
Sites, in units of the cell vectors:
Sc  0.3755  0.8734  0.3755
Sc  0.3755  0.3755  0.8734
Pb  0.0000  0.0000  0.0000
Sc  0.3755  0.3755  0.3755
Sc  0.8734  0.3755  0.3755
Si  0.7500  0.7500  0.7500

***

Entry 3:
Here is a relaxed HRuBr3 crystal from Alexandria. Energies are from GGA-PBEsol.

Values from the calculation:
final energy	-13.51	eV per cell
SG	Pm-3m

Lattice parameters (Å, degrees): 4.5468 4.5468 4.5468 90.00 90.00 90.00
Sites, in units of the cell vectors:
Br  0.5000  0.0000  0.0000
Br  0.0000  0.5000  0.0000
Ru  0.5000  0.5000  0.5000
Br  0.0000  0.0000  0.5000
H  0.0000  0.0000  0.0000

***

Entry 4:
Here is a relaxed Ca2MgCu3 crystal from Alexandria. Energies are from GGA-PBEsol.

Values from the calculation:
energy of formation	-3.81	kJ/mol of atoms
SG	P6_3/mmc

Lattice parameters (Å, degrees): 5.4893 5.4893 8.5609 90.00 90.00 120.00
Sites, in units of the cell vectors:
Ca  0.6667  0.3333  0.5642
Mg  0.0000  0.0000  0.0000
Ca  0.6667  0.3333  0.9358
Cu  0.1754  0.3507  0.7500
Ca  0.3333  0.6667  0.4358
Cu  0.8246  0.6493  0.2500
Mg  0.0000  0.0000  0.5000
Ca  0.3333  0.6667  0.0642
Cu  0.3507  0.1754  0.2500
Cu  0.8246  0.1754  0.2500
Cu  0.1754  0.8246  0.7500
Cu  0.6493  0.8246  0.7500

***

Entry 5:
Here is a relaxed CrNi2 crystal from Alexandria. Energies are from GGA-PBEsol.

Values from the calculation:
energy of formation	5.62	kJ/mol of atoms
SG	P6/mmm

Lattice parameters (Å, degrees): 2.3559 3.9397 3.9397 120.00 90.00 90.00
Sites, in units of the cell vectors:
Cr  0.5000  0.0000  0.0000
Ni  0.0000  0.6667  0.3333
Ni  0.0000  0.3333  0.6667

***

Entry 6:
Here is a relaxed Ca3Br crystal from Alexandria. Energies are from GGA-PBEsol.

Values from the calculation:
SG	P-6m2
formation energy from raw total energies	-0.692	eV per atom

Lattice parameters (Å, degrees): 3.8558 3.8558 10.6151 90.00 90.00 120.00
Sites, in units of the cell vectors:
Br  0.0000  0.0000  0.0000
Ca  0.3333  0.6667  0.7883
Ca  0.3333  0.6667  0.2117
Ca  0.0000  0.0000  0.5000

***

Entry 7:
Here is a relaxed MgZnMo crystal from Alexandria. Energies are from GGA-PBEsol.

Values from the calculation:
energy of formation	109.12	kJ/mol of atoms
SG	F-43m

Lattice parameters (Å, degrees): 4.3677 4.3677 4.3677 60.00 60.00 60.00
Sites, in units of the cell vectors:
Mo  0.2500  0.2500  0.2500
Mg  0.5000  0.5000  0.5000
Zn  0.0000  0.0000  0.0000

***

Entry 8:
Here is a relaxed Na2CaAsW crystal from Alexandria. Energies are from GGA-PBEsol.

Values from the calculation:
energy of formation	100.12	kJ/mol of atoms
SG	P4/mmm

Lattice parameters (Å, degrees): 5.3502 5.3502 5.5740 90.00 90.00 90.00
Sites, in units of the cell vectors:
Ca  0.0000  0.0000  0.5000
As  0.0000  0.0000  0.0000
Na  0.5000  0.0000  0.0000
Na  0.0000  0.5000  0.0000
W  0.5000  0.5000  0.5000

***

Number 1: magnetic moment 0.00 μB/f.u.. Number 2: magnetic moment 0.00 μB/f.u.. Number 3: magnetic moment 3.92 μB/f.u.. Number 4: magnetic moment 0.00 μB/f.u.. Number 5: magnetic moment 0.00 μB/f.u.. Number 6: magnetic moment 0.00 μB/f.u.. Number 7: magnetic moment 2.08 μB/f.u.. Number 8: magnetic moment 5.04 μB/f.u..